Below is a relaxed Ta2CdAs crystal, with properties calculated at the GGA-PBEsol level.

The structure in CIF format:
```
data_Ta2CdAs
_space_group_name_H-M_alt 'P 1 m 1'
_space_group_IT_number 6
_cell_length_a 2.883
_cell_length_b 4.776
_cell_length_c 5.345
_cell_angle_alpha 90.00
_cell_angle_beta 101.28
_cell_angle_gamma 90.00
loop_
_space_group_symop_operation_xyz
'x,y,z'
'x,-y,z'
loop_
_atom_site_label
_atom_site_type_symbol
_atom_site_fract_x
_atom_site_fract_y
_atom_site_fract_z
_atom_site_occupancy
Ta1 Ta 0.000 0.000 0.000 1
Ta2 Ta 0.263 0.500 0.746 1
Cd1 Cd 0.630 0.000 0.487 1
As1 As 0.049 0.500 0.205 1
```

Summary:
Calculated density: 12.63 g/cm³
Formation energy: 176 meV/atom
DOS(E_F): 0.667 states/eV per atom



Below is a relaxed LaNi2Pb crystal, with properties calculated at the GGA-PBEsol level.

The structure in CIF format:
```
data_LaNi2Pb
_space_group_name_H-M_alt 'F -4 3 m'
_space_group_IT_number 216
_space_group_name_Hall 'F -4 2 3'
_cell_length_a 6.815
_cell_length_b 6.815
_cell_length_c 6.815
_cell_angle_alpha 90.00
_cell_angle_beta 90.00
_cell_angle_gamma 90.00
loop_
_atom_site_label
_atom_site_type_symbol
_atom_site_fract_x
_atom_site_fract_y
_atom_site_fract_z
_atom_site_occupancy
La1 La 0.000 0.000 0.000 1
Ni1 Ni 0.000 0.000 0.500 1
Ni2 Ni 0.250 0.250 0.250 1
Pb1 Pb 0.250 0.250 0.750 1
```

Summary:
Calculated density: 9.73 g/cm³
Formation energy: 187 meV/atom
DOS(E_F): 1.080 states/eV per atom



Below is a relaxed HgWSe2 crystal, with properties calculated at the GGA-PBEsol level.

The structure in CIF format:
```
data_HgWSe2
_space_group_name_H-M_alt 'P m m 2'
_space_group_IT_number 25
_cell_length_a 2.956
_cell_length_b 3.867
_cell_length_c 6.806
_cell_angle_alpha 90.00
_cell_angle_beta 90.00
_cell_angle_gamma 90.00
loop_
_space_group_symop_operation_xyz
'x,y,z'
'-x,-y,z'
'-x,y,z'
'x,-y,z'
loop_
_atom_site_label
_atom_site_type_symbol
_atom_site_fract_x
_atom_site_fract_y
_atom_site_fract_z
_atom_site_occupancy
Hg1 Hg 0.000 0.000 0.000 1
W1 W 0.500 0.500 0.708 1
Se1 Se 0.000 0.000 0.567 1
Se2 Se 0.500 0.500 0.323 1
```

Summary:
Raw formation energy: 0.437 eV/atom
Calculated density: 11.57 g/cm³
DOS(E_F): 0.667 states/eV per atom



Below is a relaxed Sr2MnCuOs crystal, with properties calculated at the GGA-PBEsol level.

The structure in CIF format:
```
data_Sr2MnCuOs
_space_group_name_H-M_alt 'P 4/m m m'
_space_group_IT_number 123
_space_group_name_Hall '-P 4 2'
_cell_length_a 5.510
_cell_length_b 5.510
_cell_length_c 4.338
_cell_angle_alpha 90.00
_cell_angle_beta 90.00
_cell_angle_gamma 90.00
loop_
_atom_site_label
_atom_site_type_symbol
_atom_site_fract_x
_atom_site_fract_y
_atom_site_fract_z
_atom_site_occupancy
Sr1 Sr 0.000 0.500 0.000 1
Mn1 Mn 0.000 0.000 0.000 1
Cu1 Cu 0.000 0.000 0.500 1
Os1 Os 0.500 0.500 0.500 1
```

Summary:
Calculated density: 6.10 g/cm³
Formation energy: 1541 meV/atom
DOS(E_F): 1.617 states/eV per atom



Question: Among the records above, which one has the lowest calculated density?
Answer: Sr2MnCuOs